[1]
# CuSbTe2Ru GGA-PBE relaxed
# * energy relative to the elements, uncorrected: 1.043 eV per atom
# * total energy: -3.713 eV per atom
# * density: 7267 kg/m3
# * relative energy among the computed polymorphs: 1.55 eV per formula unit
data_CuSbTe2Ru
_cell_length_a 5.036
_cell_length_b 5.036
_cell_length_c 4.880
_cell_angle_alpha 90.00
_cell_angle_beta 90.00
_cell_angle_gamma 90.00
_symmetry_space_group_name_H-M 'P 1'
_symmetry_Int_Tables_number 1
_symmetry_space_group_name_Hall 'P 1'
loop_
_atom_site_label
_atom_site_type_symbol
_atom_site_fract_x
_atom_site_fract_y
_atom_site_fract_z
Sb1 Sb 0.000 0.000 0.500
Te1 Te 0.000 0.500 0.000
Te2 Te 0.500 0.000 0.000
Cu1 Cu 0.000 0.000 0.000
Ru1 Ru 0.500 0.500 0.500

[2]
# TlRh2SeN GGA-PBE relaxed
# * energy relative to the elements, uncorrected: 2.350 eV per atom
# * total energy: -3.426 eV per atom
# * density: 5811 kg/m3
data_TlRh2SeN
_cell_length_a 5.218
_cell_length_b 5.281
_cell_length_c 5.218
_cell_angle_alpha 90.00
_cell_angle_beta 90.00
_cell_angle_gamma 90.00
_symmetry_space_group_name_H-M 'P 1'
_symmetry_Int_Tables_number 1
_symmetry_space_group_name_Hall 'P 1'
loop_
_atom_site_label
_atom_site_type_symbol
_atom_site_fract_x
_atom_site_fract_y
_atom_site_fract_z
Tl1 Tl 0.000 0.000 0.000
Rh1 Rh 0.000 0.000 0.500
Rh2 Rh 0.500 0.000 0.000
Se1 Se 0.000 0.500 0.000
N1 N 0.500 0.500 0.500

[3]
# PrHo2Er2 GGA-PBE relaxed
# * total energy: -4.491 eV per atom
# * density: 8183 kg/m3
# * relative energy among the computed polymorphs: 0.20 eV per formula unit
# * formation energy from the elements: 121 meV per atom
data_PrHo2Er2
_cell_length_a 3.505
_cell_length_b 5.703
_cell_length_c 8.658
_cell_angle_alpha 109.25
_cell_angle_beta 90.00
_cell_angle_gamma 90.00
_symmetry_space_group_name_H-M 'P 1'
_symmetry_Int_Tables_number 1
_symmetry_space_group_name_Hall 'P 1'
loop_
_atom_site_label
_atom_site_type_symbol
_atom_site_fract_x
_atom_site_fract_y
_atom_site_fract_z
Pr1 Pr 0.200 0.017 0.035
Ho1 Ho 0.200 0.399 0.799
Ho2 Ho 0.700 0.592 0.183
Er1 Er 0.200 0.780 0.560
Er2 Er 0.700 0.211 0.423

[4]
# AgGe2Mo2 GGA-PBE relaxed
# * total energy: -6.577 eV per atom
# * density: 9060 kg/m3
# * relative energy among the computed polymorphs: 0.00 eV per formula unit
# * formation energy from the elements: 172 meV per atom
data_AgGe2Mo2
_cell_length_a 7.088
_cell_length_b 7.088
_cell_length_c 3.247
_cell_angle_alpha 90.00
_cell_angle_beta 90.00
_cell_angle_gamma 90.00
_symmetry_space_group_name_H-M 'P 1'
_symmetry_Int_Tables_number 1
_symmetry_space_group_name_Hall 'P 1'
loop_
_atom_site_label
_atom_site_type_symbol
_atom_site_fract_x
_atom_site_fract_y
_atom_site_fract_z
Mo1 Mo 0.146 0.646 0.500
Mo2 Mo 0.646 0.854 0.500
Mo3 Mo 0.854 0.354 0.500
Mo4 Mo 0.354 0.146 0.500
Ge1 Ge 0.355 0.855 0.000
Ge2 Ge 0.855 0.645 0.000
Ge3 Ge 0.645 0.145 0.000
Ge4 Ge 0.145 0.355 0.000
Ag1 Ag 0.000 0.000 0.000
Ag2 Ag 0.500 0.500 0.000